Entry 1:
Material: PmNdSmEr
Method: DFT, GGA-PBE
State: relaxed

abc: 8.139 8.139 8.139
angles: 90.00 90.00 90.00
Space group F-43m (No. 216)
Symmetry-distinct sites (fractional):
Pm (0.000, 0.000, 0.000) [4 per cell]
Nd (0.250, 0.250, 0.750) [4 per cell]
Sm (0.250, 0.250, 0.250) [4 per cell]
Er (0.000, 0.000, 0.500) [4 per cell]

Calculated values
formation energy from the elements: 0.544 eV/f.u.
energy relative to the lowest polymorph listed for this composition: 12.1 kJ per mole of atoms

=====

Entry 2:
Material: YPaAsN2
Method: DFT, GGA-PBE
State: relaxed

abc: 3.890 3.890 12.575
angles: 90.00 90.00 90.00
Space group I4mm (No. 107)
Symmetry-distinct sites (fractional):
Y (0.000, 0.000, 0.000) [2 per cell]
Pa (0.000, 0.000, 0.324) [2 per cell]
As (0.000, 0.000, 0.663) [2 per cell]
N (0.000, 0.500, 0.403) [4 per cell]

Calculated values
formation energy without anion corrections: -32.29 kcal/mol of atoms

=====

Entry 3:
Material: MnTcAs2
Method: DFT, GGA-PBE
State: relaxed

abc: 3.074 4.660 4.190
angles: 90.00 90.00 90.00
Space group Pmm2 (No. 25)
Symmetry-distinct sites (fractional):
Mn (0.000, 0.000, 0.000) [1 per cell]
Tc (0.500, 0.500, 0.754) [1 per cell]
As (0.000, 0.500, 0.244) [1 per cell]
As (0.500, 0.000, 0.511) [1 per cell]

Calculated values
formation energy from the elements: -0.185 eV/f.u.
energy relative to the lowest polymorph listed for this composition: 5.8 kJ per mole of atoms

=====

Number 1: DFT total energy -4.564 eV/atom. Number 2: DFT total energy -8.852 eV/atom. Number 3: DFT total energy -7.255 eV/atom.